1.
The following is a DFT calculation (GGA-PBE) of a relaxed structure of Pm3Dy5Ru2.

Computed properties:
SG: Ibam, No. 72
E_tot in eV per atom: -5.603
N(E_F) in states/eV per atom: 1.05

The structure in POSCAR format:
```
Pm3Dy5Ru2
1.0
6.803 0.000 0.000
3.401 9.346 -0.533
3.401 1.966 9.152
Dy Pm Ru
10 6 4
Cartesian
6.803 7.986 2.782
8.504 3.102 2.364
5.102 8.210 6.255
8.504 8.210 6.255
6.803 3.326 5.837
10.204 4.801 6.961
5.102 5.656 4.310
5.102 3.102 2.364
8.504 5.656 4.310
3.401 6.510 1.658
5.102 0.000 0.000
1.701 0.000 0.000
3.401 1.710 5.289
6.803 5.553 0.245
10.204 9.602 3.330
6.803 5.759 8.374
10.204 10.295 6.210
3.401 1.017 2.409
6.803 8.719 8.278
6.803 2.593 0.341
```



2.
The following is a DFT calculation (GGA-PBE) of a relaxed structure of PtCIO2.

Computed properties:
SG: P4/mmm, No. 123
E_tot in eV per atom: -3.919
N(E_F) in states/eV per atom: 0.48
Uncorrected formation energy in eV per atom: 1.427

The structure in POSCAR format:
```
PtCIO2
1.0
3.712 0.000 0.000
0.000 3.712 0.000
0.000 0.000 4.787
O I Pt C
2 1 1 1
Cartesian
0.000 1.856 0.000
1.856 0.000 0.000
0.000 0.000 2.394
1.856 1.856 2.394
0.000 0.000 0.000
```



3.
The following is a DFT calculation (GGA-PBE) of a relaxed structure of KW.

Computed properties:
SG: P4/mmm, No. 123
E_tot in eV per atom: -5.307
N(E_F) in states/eV per atom: 1.37

The structure in POSCAR format:
```
KW
1.0
2.720 0.000 0.000
0.000 2.720 0.000
0.000 0.000 6.195
K W
1 1
Cartesian
0.000 0.000 0.000
1.360 1.360 3.098
```



4.
The following is a DFT calculation (GGA-PBE) of a relaxed structure of InFe2Au.

Computed properties:
SG: Pmm2, No. 25
E_tot in eV per atom: -5.549
N(E_F) in states/eV per atom: 0.77

The structure in POSCAR format:
```
InFe2Au
1.0
4.449 0.000 0.000
0.000 2.900 -0.027
0.000 0.047 4.930
In Fe Au
1 2 1
Cartesian
0.000 1.834 2.230
0.000 0.408 4.845
2.225 0.375 1.296
2.225 1.851 3.914
```